1.
The following is a DFT calculation (PBE) of crystalline Zr2NpCo at its relaxed geometry.

Unit cell a=4.939 b=4.939 c=3.122 alpha=90.00 beta=90.00 gamma=90.00
Space group P4/mmm (No. 123)
Asymmetric unit:
Zr1 0.000 0.500 0.000
Np1 0.000 0.000 0.500
Co1 0.500 0.500 0.500

Calculated values
Crystal system: tetragonal
N(E_F) in states/eV/f.u.: 7.05
Total DFT energy (no corrections) in eV/atom: -9.0299

---

2.
The following is a DFT calculation (PBE) of crystalline Zr3NpCo8 at its relaxed geometry.

Unit cell a=4.9083 b=4.9083 c=24.0233 alpha=90.00 beta=90.00 gamma=120.00
Space group R3m (No. 160, hexagonal axes)
Asymmetric unit:
Zr1 0.0000 0.0000 0.0000
Zr2 0.0000 0.0000 0.1251
Zr3 0.0000 0.0000 0.6255
Np1 0.0000 0.0000 0.4998
Co1 0.0000 0.0000 0.3124
Co2 0.0000 0.0000 0.8123
Co3 0.9999 0.4999 0.0618
Co4 0.0001 0.5001 0.5628

Calculated values
Crystal system: trigonal
N(E_F) in states/eV/f.u.: 19.07
Total DFT energy (no corrections) in eV/atom: -8.1838

---

3.
The following is a DFT calculation (PBE) of crystalline ZrNpCo at its relaxed geometry.

Unit cell a=3.228 b=12.316 c=23.303 alpha=90.00 beta=90.00 gamma=90.00
Space group Fddd (No. 70, origin choice 2)
Asymmetric unit:
Zr1 0.125 0.260 0.125
Np1 0.125 0.125 0.266
Co1 0.125 0.125 0.564

Calculated values
Crystal system: orthorhombic
N(E_F) in states/eV/f.u.: 6.31
Total DFT energy (no corrections) in eV/atom: -9.3929

---

Repeat the third record exactly.
The following is a DFT calculation (PBE) of crystalline ZrNpCo at its relaxed geometry.

Unit cell a=3.228 b=12.316 c=23.303 alpha=90.00 beta=90.00 gamma=90.00
Space group Fddd (No. 70, origin choice 2)
Asymmetric unit:
Zr1 0.125 0.260 0.125
Np1 0.125 0.125 0.266
Co1 0.125 0.125 0.564

Calculated values
Crystal system: orthorhombic
N(E_F) in states/eV/f.u.: 6.31
Total DFT energy (no corrections) in eV/atom: -9.3929

---

Question: The highest total DFT energy (no corrections) belongs to which entry?
Answer: Zr3NpCo8